No. 1
Here is LiReP3 after structural relaxation from the Alexandria database. Energies are from GGA-PBE.

Cell and atoms, written as POSCAR:
```
LiReP3
1.0
4.162 0.000 0.000
0.000 4.162 0.000
0.000 0.000 4.162
Li Re P
1 1 3
Cartesian
0.000 0.000 0.000
2.081 2.081 2.081
0.000 0.000 2.081
0.000 2.081 0.000
2.081 0.000 0.000
```

For the energy above the most stable polymorph in this dataset, the calculation gives 901 meV/atom. The calculation puts the total magnetization at 0.0 μB/f.u. As for the crystal system: cubic. Its formation energy is 1.290 eV/atom. The space group is No. 221. For the total energy, the calculation gives -4.828 eV per atom.

No. 2
Here is Sr2NbTl after structural relaxation from the Alexandria database. Energies are from GGA-PBE.

Cell and atoms, written as POSCAR:
```
Sr2NbTl
1.0
0.000 4.026 4.026
4.026 0.000 4.026
4.026 4.026 0.000
Sr Nb Tl
2 1 1
Cartesian
2.013 2.013 2.013
6.039 6.039 6.039
0.000 0.000 0.000
4.026 4.026 4.026
```

For the energy above the most stable polymorph in this dataset, the calculation gives 0 meV/atom. The calculation puts the total magnetization at 3.7 μB/f.u. As for the crystal system: cubic. Its formation energy is 0.484 eV/atom. The space group is No. 225. For the total energy, the calculation gives -3.466 eV per atom.

No. 3
Here is Ba3ZnP3 after structural relaxation from the Alexandria database. Energies are from GGA-PBE.

Cell and atoms, written as POSCAR:
```
Ba3ZnP3
1.0
9.828 -3.353 0.000
9.828 3.353 0.000
0.000 0.000 13.178
Ba Zn P
12 4 12
Cartesian
6.421 2.012 1.715
6.421 1.341 8.304
9.828 2.109 11.231
9.828 1.244 4.643
13.236 2.012 1.715
13.236 1.341 8.304
6.421 -1.341 4.874
6.421 -2.012 11.463
9.828 -1.244 8.535
9.828 -2.109 1.946
13.236 -1.341 4.874
13.236 -2.012 11.463
1.612 0.000 6.589
8.217 0.000 0.000
11.440 0.000 0.000
18.045 0.000 6.589
6.726 2.035 5.081
6.726 1.318 11.669
9.828 1.994 7.900
9.828 1.359 1.311
12.931 2.035 5.081
12.931 1.318 11.669
6.726 -1.318 1.508
6.726 -2.035 8.097
9.828 -1.359 11.867
9.828 -1.994 5.278
12.931 -1.318 1.508
12.931 -2.035 8.097
```

The calculation puts the total magnetization at 0.0 μB/f.u. As for the crystal system: orthorhombic. Its formation energy is -0.843 eV/atom. The space group is No. 64. For the total energy, the calculation gives -4.167 eV per atom.

No. 4
Here is Y3Hg2Au3 after structural relaxation from the Alexandria database. Energies are from GGA-PBE.

Cell and atoms, written as POSCAR:
```
Y3Hg2Au3
1.0
8.739 0.000 0.000
-4.370 7.568 0.000
0.000 0.000 5.934
Y Hg Au
6 4 6
Cartesian
-1.276 2.210 1.484
-3.093 5.358 4.451
2.552 0.000 1.484
1.276 2.210 4.451
6.187 0.000 4.451
3.093 5.358 1.484
0.000 5.046 0.000
0.000 5.046 2.967
4.370 2.523 0.000
4.370 2.523 2.967
-1.585 2.745 4.451
-2.785 4.824 1.484
3.170 0.000 4.451
1.585 2.745 1.484
5.570 0.000 1.484
2.785 4.824 4.451
```

The calculation puts the total magnetization at 0.0 μB/f.u. As for the crystal system: hexagonal. Its formation energy is -0.627 eV/atom. The space group is No. 193. For the total energy, the calculation gives -4.356 eV per atom.

Repeat the fourth record exactly.
Here is Y3Hg2Au3 after structural relaxation from the Alexandria database. Energies are from GGA-PBE.

Cell and atoms, written as POSCAR:
```
Y3Hg2Au3
1.0
8.739 0.000 0.000
-4.370 7.568 0.000
0.000 0.000 5.934
Y Hg Au
6 4 6
Cartesian
-1.276 2.210 1.484
-3.093 5.358 4.451
2.552 0.000 1.484
1.276 2.210 4.451
6.187 0.000 4.451
3.093 5.358 1.484
0.000 5.046 0.000
0.000 5.046 2.967
4.370 2.523 0.000
4.370 2.523 2.967
-1.585 2.745 4.451
-2.785 4.824 1.484
3.170 0.000 4.451
1.585 2.745 1.484
5.570 0.000 1.484
2.785 4.824 4.451
```

The calculation puts the total magnetization at 0.0 μB/f.u. As for the crystal system: hexagonal. Its formation energy is -0.627 eV/atom. The space group is No. 193. For the total energy, the calculation gives -4.356 eV per atom.